1.
Below is a relaxed SrCd6Au12 crystal, with properties calculated at the PBE level.

Lattice parameters (Å, degrees): 7.732 7.732 7.732 103.38 103.38 103.38
Element x y z (fractional)
1 Sr 0.000 0.000 0.000
2 Cd 0.293 0.293 0.691
3 Cd 0.293 0.691 0.293
4 Cd 0.309 0.707 0.707
5 Cd 0.691 0.293 0.293
6 Cd 0.707 0.309 0.707
7 Cd 0.707 0.707 0.309
8 Au 0.107 0.354 0.354
9 Au 0.112 0.500 0.888
10 Au 0.112 0.888 0.500
11 Au 0.354 0.107 0.354
12 Au 0.354 0.354 0.107
13 Au 0.500 0.112 0.888
14 Au 0.500 0.888 0.112
15 Au 0.646 0.646 0.893
16 Au 0.646 0.893 0.646
17 Au 0.888 0.112 0.500
18 Au 0.888 0.500 0.112
19 Au 0.893 0.646 0.646

Summary:
E_form	-0.173	eV per atom
calculated volume	21.96	A^3/atom
DOS(E_F)	0.35	states/eV per atom
final energy	-0.19263	Ry per atom
space group	No. 166
density	12.4	Mg/m³

2.
Below is a relaxed Te2IrW crystal, with properties calculated at the PBE level.

Lattice parameters (Å, degrees): 5.574 5.574 3.120 105.69 105.69 111.71
Element x y z (fractional)
1 Te 0.000 0.500 0.000
2 Te 0.500 0.000 0.000
3 Ir 0.000 0.000 0.500
4 W 0.500 0.500 0.500

Summary:
calculated volume	19.73	A^3/atom
DOS(E_F)	0.89	states/eV per atom
ΔE to the lowest computed polymorph	80.4	kJ per mole of atoms
final energy	-0.44468	Ry per atom
space group	No. 12
E_form (uncorrected)	0.97	eV per atom
density	13.3	Mg/m³

3.
Below is a relaxed Ti2V2W crystal, with properties calculated at the PBE level.

Lattice parameters (Å, degrees): 6.910 6.910 3.276 90.00 90.00 90.00
Element x y z (fractional)
1 Ti 0.141 0.359 0.000
2 Ti 0.359 0.859 0.000
3 Ti 0.641 0.141 0.000
4 Ti 0.859 0.641 0.000
5 V 0.164 0.664 0.500
6 V 0.336 0.164 0.500
7 V 0.664 0.836 0.500
8 V 0.836 0.336 0.500
9 W 0.000 0.000 0.000
10 W 0.500 0.500 0.000

Summary:
E_form	0.422	eV per atom
calculated volume	15.64	A^3/atom
DOS(E_F)	1.25	states/eV per atom
ΔE to the lowest computed polymorph	24.6	kJ per mole of atoms
final energy	-0.65957	Ry per atom
space group	No. 127
density	8.1	Mg/m³

Calculated magnetic moment in order - 0.0, 0.0, 0.0 μB/f.u.